A relaxed Sm6HgAs2S3 crystal, computed with PBE-GGA.

## Properties
Total moment   0.000 μB/atom
Formation energy without anion corrections   -1824 kJ/mol of formula units

Structure (POSCAR):
```
Sm6HgAs2S3
1.0
9.039 -2.061 0.000
9.039 2.061 0.000
-1.978 0.000 8.113
Sm Hg As S
6 1 2 3
direct
0.002 0.002 0.231 Sm
0.327 0.327 0.414 Sm
0.333 0.333 0.918 Sm
0.667 0.667 0.082 Sm
0.673 0.673 0.586 Sm
0.998 0.998 0.769 Sm
0.500 0.500 0.500 Hg
0.166 0.166 0.832 As
0.834 0.834 0.168 As
0.168 0.168 0.332 S
0.500 0.500 0.000 S
0.832 0.832 0.668 S
```